The following is a DFT calculation (PBE) of a relaxed structure of TaVCoRh.

Calculated values
Energy of formation from the pure elements (eV per atom): -0.1264
Total DFT energy (no corrections) (eV per cell): -143.7
Magnetization (μB/atom): 0.79

Geometry as CIF:
```
data_TaVCoRh
_cell_length_a 6.140
_cell_length_b 6.140
_cell_length_c 6.140
_cell_angle_alpha 90.00
_cell_angle_beta 90.00
_cell_angle_gamma 90.00
_symmetry_space_group_name_H-M 'F -4 3 m'
_symmetry_Int_Tables_number 216
_symmetry_space_group_name_Hall 'F -4 2 3'
loop_
_atom_site_label
_atom_site_fract_x
_atom_site_fract_y
_atom_site_fract_z
_atom_site_occupancy
Ta1 0.000 0.000 0.000 1
V1 0.000 0.000 0.500 1
Co1 0.250 0.250 0.250 1
Rh1 0.250 0.250 0.750 1
```

The following is a DFT calculation (PBE) of a relaxed structure of La2Zn3Ga4Pt.

Calculated values
Energy of formation from the pure elements (eV per atom): -0.6115
Total DFT energy (no corrections) (eV per cell): -37.9
Magnetization (μB/atom): 0.00

Geometry as CIF:
```
data_La2Zn3Ga4Pt
_cell_length_a 4.331
_cell_length_b 4.331
_cell_length_c 10.617
_cell_angle_alpha 90.00
_cell_angle_beta 90.00
_cell_angle_gamma 90.00
_symmetry_space_group_name_H-M 'P -4 m 2'
_symmetry_Int_Tables_number 115
loop_
_symmetry_equiv_pos_as_xyz
'x,y,z'
'y,-x,-z'
'-x,-y,z'
'-y,x,-z'
'-x,y,z'
'-y,-x,-z'
'x,-y,z'
'y,x,-z'
loop_
_atom_site_label
_atom_site_fract_x
_atom_site_fract_y
_atom_site_fract_z
_atom_site_occupancy
La1 0.000 0.500 0.248 1
Zn1 0.000 0.000 0.000 1
Zn2 0.000 0.500 0.634 1
Ga1 0.000 0.000 0.500 1
Ga2 0.000 0.500 0.870 1
Ga3 0.500 0.500 0.500 1
Pt1 0.500 0.500 0.000 1
```

The following is a DFT calculation (PBE) of a relaxed structure of HgMoIrRh2.

Calculated values
Energy of formation from the pure elements (eV per atom): 2.4890
Total DFT energy (no corrections) (eV per cell): -22.3
Magnetization (μB/atom): 0.00

Geometry as CIF:
```
data_HgMoIrRh2
_cell_length_a 4.778
_cell_length_b 4.778
_cell_length_c 4.870
_cell_angle_alpha 90.00
_cell_angle_beta 90.00
_cell_angle_gamma 90.00
_symmetry_space_group_name_H-M 'P 4/m m m'
_symmetry_Int_Tables_number 123
_symmetry_space_group_name_Hall '-P 4 2'
loop_
_atom_site_label
_atom_site_fract_x
_atom_site_fract_y
_atom_site_fract_z
_atom_site_occupancy
Hg1 0.000 0.000 0.000 1
Mo1 0.000 0.000 0.500 1
Ir1 0.500 0.500 0.500 1
Rh1 0.000 0.500 0.000 1
```

The following is a DFT calculation (PBE) of a relaxed structure of Sr4PAu2.

Calculated values
Energy of formation from the pure elements (eV per atom): -0.3530
Total DFT energy (no corrections) (eV per cell): -42.3
Magnetization (μB/atom): 0.00

Geometry as CIF:
```
data_Sr4PAu2
_cell_length_a 5.591
_cell_length_b 5.591
_cell_length_c 18.052
_cell_angle_alpha 90.00
_cell_angle_beta 90.00
_cell_angle_gamma 90.00
_symmetry_space_group_name_H-M 'I 4/m m m'
_symmetry_Int_Tables_number 139
_symmetry_space_group_name_Hall '-I 4 2'
loop_
_atom_site_label
_atom_site_fract_x
_atom_site_fract_y
_atom_site_fract_z
_atom_site_occupancy
Sr1 0.000 0.000 0.188 1
Sr2 0.000 0.500 0.000 1
P1 0.000 0.000 0.500 1
Au1 0.000 0.000 0.360 1
```

The following is a DFT calculation (PBE) of a relaxed structure of BaSnAs.

Calculated values
Energy of formation from the pure elements (eV per atom): -0.6646
Total DFT energy (no corrections) (eV per cell): -25.1
Magnetization (μB/atom): 0.00

Geometry as CIF:
```
data_BaSnAs
_cell_length_a 4.628
_cell_length_b 4.694
_cell_length_c 10.978
_cell_angle_alpha 78.24
_cell_angle_beta 77.90
_cell_angle_gamma 60.52
_symmetry_space_group_name_H-M 'P 1'
_symmetry_Int_Tables_number 1
loop_
_symmetry_equiv_pos_as_xyz
'x,y,z'
loop_
_atom_site_label
_atom_site_fract_x
_atom_site_fract_y
_atom_site_fract_z
_atom_site_occupancy
Ba1 0.000 0.000 0.000 1
Ba2 0.138 0.158 0.570 1
Sn1 0.588 0.586 0.239 1
Sn2 0.880 0.887 0.355 1
As1 0.395 0.441 0.775 1
As2 0.741 0.715 0.803 1
```

The following is a DFT calculation (PBE) of a relaxed structure of LiMoOs2.

Calculated values
Distance to the lowest polymorph of the same formula (eV/atom): 0.131
Energy of formation from the pure elements (eV per atom): 0.2581
Total DFT energy (no corrections) (eV per cell): -68.3
Magnetization (μB/atom): 0.00

Geometry as CIF:
```
data_LiMoOs2
_cell_length_a 2.951
_cell_length_b 4.488
_cell_length_c 8.590
_cell_angle_alpha 90.00
_cell_angle_beta 90.00
_cell_angle_gamma 90.00
_symmetry_space_group_name_H-M 'I m m m'
_symmetry_Int_Tables_number 71
_symmetry_space_group_name_Hall '-I 2 2'
loop_
_atom_site_label
_atom_site_fract_x
_atom_site_fract_y
_atom_site_fract_z
_atom_site_occupancy
Li1 0.000 0.000 0.000 1
Mo1 0.000 0.000 0.500 1
Os1 0.000 0.500 0.245 1
```